1.
# CaTh2Pd3

A relaxed CaTh2Pd3 crystal (PBE, the Alexandria database).

```
12
Lattice="-2.609 3.639 7.560 2.609 -3.639 7.560 2.609 3.639 -7.560" Properties=species:S:1:pos:R:3 pbc="T T T"
Ca 0.000 1.820 2.706
Ca 2.609 1.820 4.854
Th 2.609 -1.820 5.076
Th 2.609 1.820 0.231
Th 0.000 1.820 7.329
Th 0.000 5.459 2.484
Pd 0.000 0.000 0.000
Pd 2.609 -0.298 2.364
Pd 2.609 3.341 -2.364
Pd 0.000 3.639 0.000
Pd 0.000 0.298 9.923
Pd 0.000 3.938 5.196
```

Values from the calculation:
The symmetry is Imma.

=====

2.
# CaThPd4

A relaxed CaThPd4 crystal (PBE, the Alexandria database).

```
6
Lattice="0.000 3.885 3.885 3.885 0.000 3.885 3.885 3.885 0.000" Properties=species:S:1:pos:R:3 pbc="T T T"
Ca 0.000 0.000 0.000
Th 5.827 5.827 5.827
Pd 2.912 2.912 2.912
Pd 4.857 4.857 2.912
Pd 4.857 2.912 4.857
Pd 2.912 4.857 4.857
```

Values from the calculation:
The calculation puts the offset from the most stable computed form at 97 meV per atom. The symmetry is F-43m.

=====

3.
# Ca5ThPd6

A relaxed Ca5ThPd6 crystal (PBE, the Alexandria database).

```
12
Lattice="5.034 0.000 0.000 0.000 7.145 0.000 -2.490 0.000 7.553" Properties=species:S:1:pos:R:3 pbc="T T T"
Ca 0.000 0.000 0.000
Ca 0.017 3.572 4.927
Ca 0.017 0.000 5.030
Ca 2.527 0.000 2.523
Ca 2.526 3.572 2.626
Th 0.000 3.572 0.000
Pd 0.009 1.830 2.355
Pd 0.009 5.314 2.355
Pd 2.517 1.937 0.000
Pd 2.517 5.208 0.000
Pd 2.535 1.830 5.199
Pd 2.535 5.314 5.199
```

Values from the calculation:
The symmetry is P2/m.

=====

4.
# CaThPd

A relaxed CaThPd crystal (PBE, the Alexandria database).

```
3
Lattice="-1.787 1.787 6.629 1.787 -1.787 6.629 1.787 1.787 -6.629" Properties=species:S:1:pos:R:3 pbc="T T T"
Ca 0.000 0.000 0.000
Th 0.000 0.000 3.586
Pd 0.000 0.000 8.587
```

Values from the calculation:
The calculation puts the offset from the most stable computed form at 0 meV per atom. The symmetry is I4mm.

=====

5.
# Ca2Th2Pd15

A relaxed Ca2Th2Pd15 crystal (PBE, the Alexandria database).

```
19
Lattice="4.676 2.700 4.757 -4.676 2.700 4.757 0.000 -5.400 4.757" Properties=species:S:1:pos:R:3 pbc="T T T"
Ca 0.000 0.000 1.852
Ca 0.000 0.000 12.418
Th 0.000 0.000 5.501
Th 0.000 0.000 8.769
Pd -2.338 -1.350 4.757
Pd 0.000 -2.735 4.563
Pd -2.369 1.367 4.563
Pd -1.415 -2.450 7.135
Pd -2.829 0.000 7.135
Pd -2.369 -1.367 9.707
Pd -2.338 1.350 9.514
Pd 1.415 -2.450 7.135
Pd 0.000 2.700 4.757
Pd -1.415 2.450 7.135
Pd 2.369 1.367 4.563
Pd 2.829 0.000 7.135
Pd 1.415 2.450 7.135
Pd 2.369 -1.367 9.707
Pd 0.000 2.735 9.707
```

Values from the calculation:
The symmetry is R-3m.

=====

6.
# CaThPd

A relaxed CaThPd crystal (PBE, the Alexandria database).

```
6
Lattice="2.521 1.455 8.267 -2.521 1.455 8.267 0.000 -2.911 8.267" Properties=species:S:1:pos:R:3 pbc="T T T"
Ca 0.000 0.000 3.207
Ca 0.000 0.000 21.593
Th 0.000 0.000 9.354
Th 0.000 0.000 15.446
Pd 0.000 0.000 6.460
Pd 0.000 0.000 18.340
```

Values from the calculation:
The calculation puts the offset from the most stable computed form at 65 meV per atom. The symmetry is R-3m.

=====

Energy of formation from the pure elements for the records above, in order: -696 -735 -714 -366 -513 -302 meV per atom